{
  "formula": "AcThPd2Pt2",
  "functional": "PBE-GGA",
  "state": "optimized geometry",
  "spacegroup": "P-3m1",
  "vol_a3_per_cell": 140.16,
  "formation_enthalpy_0k_mev_per_atom": -923,
  "dos_at_fermi_per_ev_atom": 0.81,
  "e_tot_ev_per_cell": -39.5,
  "cell": [[4.5878, 0.0000, 0.0000], [-2.2939, 3.9732, 0.0000], [0.0000, 0.0000, 7.6888]],
  "species": ["Ac", "Th", "Pd", "Pd", "Pt", "Pt"],
  "fractional_positions": [[0.0000, 0.0000, 0.0000], [0.0000, 0.0000, 0.5000], [0.3333, 0.6667, 0.7126], [0.6667, 0.3333, 0.2874], [0.3333, 0.6667, 0.2753], [0.6667, 0.3333, 0.7247]]
}



{
  "formula": "PrDyRhPb",
  "functional": "PBE-GGA",
  "state": "optimized geometry",
  "spacegroup": "F-43m",
  "vol_a3_per_cell": 102.62,
  "formation_enthalpy_0k_mev_per_atom": -453,
  "dos_at_fermi_per_ev_atom": 0.86,
  "e_tot_ev_per_cell": -22.3,
  "cell": [[0.0000, 3.7159, 3.7159], [3.7159, 0.0000, 3.7159], [3.7159, 3.7159, 0.0000]],
  "species": ["Pr", "Dy", "Rh", "Pb"],
  "fractional_positions": [[0.0000, 0.0000, 0.0000], [0.5000, 0.5000, 0.5000], [0.2500, 0.2500, 0.2500], [0.7500, 0.7500, 0.7500]]
}



{
  "formula": "TbTl2PbO6",
  "functional": "PBE-GGA",
  "state": "optimized geometry",
  "spacegroup": "R3",
  "vol_a3_per_cell": 155.21,
  "dos_at_fermi_per_ev_atom": 0.36,
  "e_form_raw_ev_per_fu": -14.009,
  "e_tot_ev_per_cell": -56.8,
  "cell": [[2.9453, 1.7004, 5.1648], [-2.9453, 1.7004, 5.1648], [0.0000, -3.4009, 5.1648]],
  "species": ["Tb", "Tl", "Tl", "Pb", "O", "O", "O", "O", "O", "O"],
  "fractional_positions": [[0.0000, 0.0000, 0.0000], [0.2788, 0.2788, 0.2788], [0.7805, 0.7805, 0.7805], [0.4979, 0.4979, 0.4979], [0.1009, 0.6913, 0.3891], [0.1850, 0.6034, 0.8902], [0.3891, 0.1009, 0.6913], [0.6034, 0.8902, 0.1850], [0.6913, 0.3891, 0.1009], [0.8902, 0.1850, 0.6034]]
}



Repeat the third record exactly.
{
  "formula": "TbTl2PbO6",
  "functional": "PBE-GGA",
  "state": "optimized geometry",
  "spacegroup": "R3",
  "vol_a3_per_cell": 155.21,
  "dos_at_fermi_per_ev_atom": 0.36,
  "e_form_raw_ev_per_fu": -14.009,
  "e_tot_ev_per_cell": -56.8,
  "cell": [[2.9453, 1.7004, 5.1648], [-2.9453, 1.7004, 5.1648], [0.0000, -3.4009, 5.1648]],
  "species": ["Tb", "Tl", "Tl", "Pb", "O", "O", "O", "O", "O", "O"],
  "fractional_positions": [[0.0000, 0.0000, 0.0000], [0.2788, 0.2788, 0.2788], [0.7805, 0.7805, 0.7805], [0.4979, 0.4979, 0.4979], [0.1009, 0.6913, 0.3891], [0.1850, 0.6034, 0.8902], [0.3891, 0.1009, 0.6913], [0.6034, 0.8902, 0.1850], [0.6913, 0.3891, 0.1009], [0.8902, 0.1850, 0.6034]]
}